[1]
The following is a DFT calculation (PBE) of a geometry-optimized LaPr5Tl structure.

Computed properties:
**DFT formation energy**: 5.776 kcal/mol of atoms
**SG**: P4/mmm, No. 123
**Electronic total energy**: -29.44 eV for the cell shown
**D(E_F)**: 1.796 states/eV/atom

The structure in POSCAR format:
```
LaPr5Tl
1.0
5.9565 0.0000 0.0000
0.0000 5.9565 0.0000
0.0000 0.0000 7.1812
Pr La Tl
5 1 1
Direct
0.5000 0.5000 0.0000
0.0000 0.5000 0.7471
0.5000 0.0000 0.2529
0.5000 0.0000 0.7471
0.0000 0.5000 0.2529
0.0000 0.0000 0.5000
0.0000 0.0000 0.0000
```

[2]
The following is a DFT calculation (PBE) of a geometry-optimized PrScAl2 structure.

Computed properties:
**DFT formation energy**: -9.027 kcal/mol of atoms
**SG**: P4/mmm, No. 123
**Electronic total energy**: -20.16 eV for the cell shown
**D(E_F)**: 0.478 states/eV/atom

The structure in POSCAR format:
```
PrScAl2
1.0
-2.5234 1.7035 1.8658
-0.9779 -3.0900 1.4987
4.6568 1.0958 5.2978
Al Pr Sc
2 1 1
Direct
0.0000 0.0000 0.2120
0.0000 0.0000 0.7880
0.5000 0.5000 0.5000
0.5000 0.5000 0.0000
```

[3]
The following is a DFT calculation (PBE) of a geometry-optimized Ti2NCl structure.

Computed properties:
**Formation energy from raw total energies**: -847 meV per atom
**SG**: I-42d, No. 122
**Electronic total energy**: -58.70 eV for the cell shown
**D(E_F)**: 0.641 states/eV/atom

The structure in POSCAR format:
```
Ti2NCl
1.0
-3.4000 1.2378 3.5911
-3.7277 -2.0132 -2.8354
-2.8475 -4.8224 2.5847
Ti N Cl
4 2 2
Direct
0.5401 0.1250 0.2500
0.3750 0.4599 0.7500
0.2099 0.6250 0.2500
0.8750 0.7901 0.7500
0.5000 0.5000 0.0000
0.2500 0.7500 0.5000
0.0000 0.0000 0.0000
0.7500 0.2500 0.5000
```